# PBE-GGA Te2PtPb, optimized geometry
data_Te2PtPb
_cell_length_a 7.3699
_cell_length_b 7.3699
_cell_length_c 7.3699
_cell_angle_alpha 90.00
_cell_angle_beta 90.00
_cell_angle_gamma 90.00
_space_group_name_H-M_alt 'F -4 3 m'
_space_group_IT_number 216
_space_group_name_Hall 'F -4 2 3'
loop_
_atom_site_label
_atom_site_type_symbol
_atom_site_fract_x
_atom_site_fract_y
_atom_site_fract_z
Te1 Te 0.0000 0.0000 0.0000
Te2 Te 0.2500 0.2500 0.2500
Pt1 Pt 0.2500 0.2500 0.7500
Pb1 Pb 0.0000 0.0000 0.5000
# E in eV per cell: -59.75
# Density in g/cm³: 10.9

# PBE-GGA CeDyCo, optimized geometry
data_CeDyCo
_cell_length_a 6.6304
_cell_length_b 6.6304
_cell_length_c 6.6304
_cell_angle_alpha 90.00
_cell_angle_beta 90.00
_cell_angle_gamma 90.00
_space_group_name_H-M_alt 'F -4 3 m'
_space_group_IT_number 216
_space_group_name_Hall 'F -4 2 3'
loop_
_atom_site_label
_atom_site_type_symbol
_atom_site_fract_x
_atom_site_fract_y
_atom_site_fract_z
Ce1 Ce 0.0000 0.0000 0.0000
Dy1 Dy 0.0000 0.0000 0.5000
Co1 Co 0.2500 0.2500 0.7500
# DFT formation energy in meV/atom: 13
# Relative energy among the computed polymorphs in eV/f.u.: 0.56
# Density in g/cm³: 8.2

# PBE-GGA SrTmNpO6, optimized geometry
data_SrTmNpO6
_cell_length_a 5.7725
_cell_length_b 5.7725
_cell_length_c 10.2477
_cell_angle_alpha 90.00
_cell_angle_beta 90.00
_cell_angle_gamma 120.00
_space_group_name_H-M_alt 'P -3 1 c'
_space_group_IT_number 163
_space_group_name_Hall '-P 3 2c'
loop_
_atom_site_label
_atom_site_type_symbol
_atom_site_fract_x
_atom_site_fract_y
_atom_site_fract_z
Sr1 Sr 0.0000 0.0000 0.0000
Tm1 Tm 0.3333 0.6667 0.2500
Np1 Np 0.3333 0.6667 0.7500
O1 O 0.0257 0.3811 0.6441
# E in eV per cell: -152.15
# Density in g/cm³: 6.6

# PBE-GGA Zn2P4Pt, optimized geometry
data_Zn2P4Pt
_cell_length_a 4.8460
_cell_length_b 4.8460
_cell_length_c 11.7508
_cell_angle_alpha 90.00
_cell_angle_beta 90.00
_cell_angle_gamma 90.00
_space_group_name_H-M_alt 'I 4/m m m'
_space_group_IT_number 139
_space_group_name_Hall '-I 4 2'
loop_
_atom_site_label
_atom_site_type_symbol
_atom_site_fract_x
_atom_site_fract_y
_atom_site_fract_z
Zn1 Zn 0.0000 0.0000 0.1046
P1 P 0.0000 0.0000 0.2990
P2 P 0.0000 0.5000 0.0000
Pt1 Pt 0.0000 0.0000 0.5000
# DFT formation energy in meV/atom: 601
# Density in g/cm³: 5.4

Q: Number 2 is which compound?
A: CeDyCo

Q: Which formula does entry 4 have?
A: Zn2P4Pt